DFT (PBE-GGA) results for a relaxed AcSbRh4 crystal.

**E above lowest polymorph**: 0.0 kJ per mole of atoms
**ΔE_f (raw)**: -1.97 eV per formula unit

Structure (CIF):
```
data_AcSbRh4
_space_group_name_H-M_alt 'P m m a'
_space_group_IT_number 51
_space_group_name_Hall '-P 2a 2a'
_cell_length_a 7.672
_cell_length_b 4.169
_cell_length_c 7.421
_cell_angle_alpha 90.00
_cell_angle_beta 90.00
_cell_angle_gamma 90.00
loop_
_atom_site_label
_atom_site_fract_x
_atom_site_fract_y
_atom_site_fract_z
_atom_site_occupancy
Ac1 0.250 0.000 0.161 1
Sb1 0.250 0.000 0.726 1
Rh1 0.000 0.000 0.500 1
Rh2 0.047 0.500 0.781 1
Rh3 0.250 0.500 0.461 1
```

DFT (PBE-GGA) results for a relaxed TlAsH2 crystal.

**E above lowest polymorph**: 17.3 kJ per mole of atoms

Structure (CIF):
```
data_TlAsH2
_space_group_name_H-M_alt 'I 41/a m d'
_space_group_IT_number 141
_cell_length_a 4.860
_cell_length_b 4.860
_cell_length_c 10.957
_cell_angle_alpha 90.00
_cell_angle_beta 90.00
_cell_angle_gamma 90.00
loop_
_space_group_symop_operation_xyz
'x,y,z'
'-x,-y,-z'
'-y+1/4,x+3/4,z+1/4'
'y+1/4,-x+3/4,-z+1/4'
'-x+1/2,-y,z+1/2'
'x+1/2,y,-z+1/2'
'y+1/4,-x+1/4,z+3/4'
'-y+1/4,x+1/4,-z+3/4'
'x,-y,-z'
'-x,y,z'
'-y+1/4,-x+1/4,-z+3/4'
'y+1/4,x+1/4,z+3/4'
'-x+1/2,y,-z+1/2'
'x+1/2,-y,z+1/2'
'y+1/4,x+3/4,-z+1/4'
'-y+1/4,-x+3/4,z+1/4'
'x+1/2,y+1/2,z+1/2'
'-x+1/2,-y+1/2,-z+1/2'
'-y+3/4,x+1/4,z+3/4'
'y+3/4,-x+1/4,-z+3/4'
'-x,-y+1/2,z'
'x,y+1/2,-z'
'y+3/4,-x+3/4,z+1/4'
'-y+3/4,x+3/4,-z+1/4'
'x+1/2,-y+1/2,-z+1/2'
'-x+1/2,y+1/2,z+1/2'
'-y+3/4,-x+3/4,-z+1/4'
'y+3/4,x+3/4,z+1/4'
'-x,y+1/2,-z'
'x,-y+1/2,z'
'y+3/4,x+1/4,-z+3/4'
'-y+3/4,-x+1/4,z+3/4'
loop_
_atom_site_label
_atom_site_fract_x
_atom_site_fract_y
_atom_site_fract_z
_atom_site_occupancy
Tl1 0.000 0.250 0.375 1
As1 0.000 0.250 0.875 1
H1 0.000 0.000 0.000 1
```

DFT (PBE-GGA) results for a relaxed LiIrBr2 crystal.

**E above lowest polymorph**: 20.7 kJ per mole of atoms
**ΔE_f (raw)**: -0.41 eV per formula unit

Structure (CIF):
```
data_LiIrBr2
_space_group_name_H-M_alt 'P 4 m m'
_space_group_IT_number 99
_space_group_name_Hall 'P 4 -2'
_cell_length_a 3.824
_cell_length_b 3.824
_cell_length_c 5.299
_cell_angle_alpha 90.00
_cell_angle_beta 90.00
_cell_angle_gamma 90.00
loop_
_atom_site_label
_atom_site_fract_x
_atom_site_fract_y
_atom_site_fract_z
_atom_site_occupancy
Li1 0.000 0.000 0.000 1
Ir1 0.500 0.500 0.498 1
Br1 0.000 0.000 0.499 1
Br2 0.500 0.500 0.998 1
```

DFT (PBE-GGA) results for a relaxed TaMoS2N crystal.

**E above lowest polymorph**: 21.0 kJ per mole of atoms
**ΔE_f (raw)**: 2.83 eV per formula unit

Structure (CIF):
```
data_TaMoS2N
_space_group_name_H-M_alt 'P 4/m m m'
_space_group_IT_number 123
_space_group_name_Hall '-P 4 2'
_cell_length_a 4.797
_cell_length_b 4.797
_cell_length_c 3.727
_cell_angle_alpha 90.00
_cell_angle_beta 90.00
_cell_angle_gamma 90.00
loop_
_atom_site_label
_atom_site_fract_x
_atom_site_fract_y
_atom_site_fract_z
_atom_site_occupancy
Ta1 0.000 0.000 0.000 1
Mo1 0.500 0.500 0.500 1
S1 0.000 0.500 0.500 1
N1 0.500 0.500 0.000 1
```

DFT (PBE-GGA) results for a relaxed YTeS4 crystal.

**ΔE_f (raw)**: -3.96 eV per formula unit

Structure (CIF):
```
data_YTeS4
_space_group_name_H-M_alt 'C 1 2/m 1'
_space_group_IT_number 12
_space_group_name_Hall '-C 2y'
_cell_length_a 12.639
_cell_length_b 3.839
_cell_length_c 6.798
_cell_angle_alpha 90.00
_cell_angle_beta 100.97
_cell_angle_gamma 90.00
loop_
_atom_site_label
_atom_site_fract_x
_atom_site_fract_y
_atom_site_fract_z
_atom_site_occupancy
Y1 0.000 0.000 0.000 1
Te1 0.000 0.500 0.500 1
S1 0.117 0.500 0.852 1
S2 0.120 0.000 0.389 1
```

DFT (PBE-GGA) results for a relaxed CaBeBr2 crystal.

**E above lowest polymorph**: 15.4 kJ per mole of atoms
**ΔE_f (raw)**: -2.56 eV per formula unit

Structure (CIF):
```
data_CaBeBr2
_space_group_name_H-M_alt 'C 1 2/m 1'
_space_group_IT_number 12
_space_group_name_Hall '-C 2y'
_cell_length_a 7.297
_cell_length_b 4.216
_cell_length_c 10.326
_cell_angle_alpha 90.00
_cell_angle_beta 102.49
_cell_angle_gamma 90.00
loop_
_atom_site_label
_atom_site_fract_x
_atom_site_fract_y
_atom_site_fract_z
_atom_site_occupancy
Ca1 0.000 0.000 0.000 1
Be1 0.000 0.500 0.500 1
Br1 0.215 0.500 0.159 1
```

Listing total magnetic moment for the structures above in their given order: 0.000; 0.000; 0.000; 2.240; 0.000; 0.000 μB per formula unit.